Model 1:
Below is PmThAu after structural relaxation, with properties calculated at the PBE level.

Unit cell a=3.713 b=3.713 c=12.399 alpha=90.00 beta=90.00 gamma=90.00
Space group I4mm (No. 107)
Symmetry-distinct sites (fractional):
Pm (0.000, 0.000, 0.000)
Th (0.000, 0.000, 0.700)
Au (0.000, 0.000, 0.346)

- calculated volume (Å³/cell) = 171
- ρ (g cm⁻³) = 11.2
- magnetization (Bohr magnetons per cell) = 0.0



Model 2:
Below is PmThAu after structural relaxation, with properties calculated at the PBE level.

Unit cell a=4.8945 b=4.8945 c=26.8660 alpha=90.00 beta=90.00 gamma=120.00
Space group R-3m (No. 166, hexagonal axes)
Symmetry-distinct sites (fractional):
Pm (0.0000, 0.0000, 0.1251)
Th (0.0000, 0.0000, 0.3681)
Au (0.0000, 0.0000, 0.2464)

- calculated volume (Å³/cell) = 557
- ρ (g cm⁻³) = 10.3
- magnetization (Bohr magnetons per cell) = 0.0



Tell me which of them is the least stable. Sure, it is model 2.



Model 1:
Below is Pm8Tl2Au after structural relaxation, with properties calculated at the PBE level.

Unit cell a=19.535 b=5.235 c=6.940 alpha=90.00 beta=104.39 gamma=90.00
Space group C2/m (No. 12)
Symmetry-distinct sites (fractional):
Pm (0.015, 0.000, 0.273)
Pm (0.091, 0.500, 0.968)
Pm (0.153, 0.500, 0.491)
Pm (0.210, 0.000, 0.820)
Tl (0.181, 0.000, 0.256)
Au (0.000, 0.500, 0.500)

- calculated volume (Å³/cell) = 688
- ρ (g cm⁻³) = 8.5
- magnetization (Bohr magnetons per cell) = 0.0



Model 2:
Below is Pm8Tl2Au after structural relaxation, with properties calculated at the PBE level.

Unit cell a=5.256 b=8.675 c=14.766 alpha=90.00 beta=90.00 gamma=90.00
Space group Immm (No. 71)
Symmetry-distinct sites (fractional):
Pm (0.000, 0.000, 0.130)
Pm (0.000, 0.223, 0.347)
Pm (0.000, 0.319, 0.000)
Tl (0.000, 0.500, 0.198)
Au (0.000, 0.500, 0.500)

- calculated volume (Å³/cell) = 673
- ρ (g cm⁻³) = 8.7
- magnetization (Bohr magnetons per cell) = 0.0



Tell me which of them is the least stable. Sure, it is model 2.